A relaxed HgAs2Pd2 crystal, computed with PBE.

electronic total energy = -4.015 eV/atom
excess energy over the best structure of this formula in the dataset = 0.38 eV/f.u.

Cell and atoms, written as POSCAR:
```
HgAs2Pd2
1.0
4.1939 0.0000 0.0000
0.0000 4.1939 0.0000
2.0969 2.0969 5.7230
Pd As Hg
2 2 1
Direct
0.3783 0.3783 0.2434
0.6217 0.6217 0.7566
0.7500 0.2500 0.5000
0.2500 0.7500 0.5000
0.0000 0.0000 0.0000
```